[1]
# CeVN3, optimized geometry, DFT PBE
data_CeVN3
_cell_length_a 7.025
_cell_length_b 6.375
_cell_length_c 6.926
_cell_angle_alpha 90.00
_cell_angle_beta 117.67
_cell_angle_gamma 90.00
_space_group_name_H-M_alt 'P 1 21/c 1'
_space_group_IT_number 14
loop_
_space_group_symop_operation_xyz
'x,y,z'
'-x,-y,-z'
'-x,y+1/2,-z+1/2'
'x,-y+1/2,z+1/2'
loop_
_atom_site_label
_atom_site_type_symbol
_atom_site_fract_x
_atom_site_fract_y
_atom_site_fract_z
Ce1 Ce 0.122 0.237 0.033
V1 V 0.317 0.629 0.894
N1 N 0.018 0.553 0.798
N2 N 0.274 0.695 0.631
N3 N 0.372 0.159 0.417
# Calculated volume (Å³/cell): 274.70
# Raw formation energy (meV/atom): -996
# Total energy (Ry per atom): -0.6616

[2]
# Er8GeTe4Pt3, optimized geometry, DFT PBE
data_Er8GeTe4Pt3
_cell_length_a 8.2511
_cell_length_b 8.2511
_cell_length_c 21.7490
_cell_angle_alpha 90.00
_cell_angle_beta 90.00
_cell_angle_gamma 120.00
_space_group_name_H-M_alt 'R -3 m'
_space_group_IT_number 166
_space_group_name_Hall '-R 3 2"'
loop_
_atom_site_label
_atom_site_type_symbol
_atom_site_fract_x
_atom_site_fract_y
_atom_site_fract_z
Er1 Er 0.0000 0.0000 0.2370
Er2 Er 0.0049 0.5025 0.7612
Ge1 Ge 0.0000 0.0000 0.5000
Te1 Te 0.0000 0.0000 0.0000
Te2 Te 0.0000 0.5000 0.0000
Pt1 Pt 0.0000 0.5000 0.5000
# Calculated volume (Å³/cell): 1282.32
# Raw formation energy (meV/atom): -1213
# Total energy (Ry per atom): -0.4190

[3]
# Cs3PRh, optimized geometry, DFT PBE
data_Cs3PRh
_cell_length_a 5.899
_cell_length_b 5.899
_cell_length_c 5.899
_cell_angle_alpha 90.00
_cell_angle_beta 90.00
_cell_angle_gamma 90.00
_space_group_name_H-M_alt 'P m -3 m'
_space_group_IT_number 221
_space_group_name_Hall '-P 4 2 3'
loop_
_atom_site_label
_atom_site_type_symbol
_atom_site_fract_x
_atom_site_fract_y
_atom_site_fract_z
Cs1 Cs 0.000 0.000 0.500
P1 P 0.500 0.500 0.500
Rh1 Rh 0.000 0.000 0.000
# Calculated volume (Å³/cell): 205.26
# Total energy (Ry per atom): -0.1844
# Energy of formation from the pure elements (eV per formula unit): 2.8

[4]
# KPa2MnN5, optimized geometry, DFT PBE
data_KPa2MnN5
_cell_length_a 6.681
_cell_length_b 6.681
_cell_length_c 11.187
_cell_angle_alpha 90.00
_cell_angle_beta 90.00
_cell_angle_gamma 90.00
_space_group_name_H-M_alt 'I 4/m c m'
_space_group_IT_number 140
_space_group_name_Hall '-I 4 2c'
loop_
_atom_site_label
_atom_site_type_symbol
_atom_site_fract_x
_atom_site_fract_y
_atom_site_fract_z
K1 K 0.000 0.000 0.250
Pa1 Pa 0.185 0.315 0.000
Mn1 Mn 0.000 0.500 0.250
N1 N 0.000 0.000 0.000
N2 N 0.133 0.367 0.370
# Calculated volume (Å³/cell): 499.40
# Raw formation energy (meV/atom): -968
# Total energy (Ry per atom): -0.6500

[5]
# Rb7Cl2O2, optimized geometry, DFT PBE
data_Rb7Cl2O2
_cell_length_a 9.291
_cell_length_b 14.187
_cell_length_c 7.955
_cell_angle_alpha 90.00
_cell_angle_beta 99.43
_cell_angle_gamma 90.00
_space_group_name_H-M_alt 'C 1 2/m 1'
_space_group_IT_number 12
loop_
_space_group_symop_operation_xyz
'x,y,z'
'-x,-y,-z'
'-x,y,-z'
'x,-y,z'
'x+1/2,y+1/2,z'
'-x+1/2,-y+1/2,-z'
'-x+1/2,y+1/2,-z'
'x+1/2,-y+1/2,z'
loop_
_atom_site_label
_atom_site_type_symbol
_atom_site_fract_x
_atom_site_fract_y
_atom_site_fract_z
Rb1 Rb 0.000 0.000 0.000
Rb2 Rb 0.064 0.500 0.800
Rb3 Rb 0.228 0.159 0.718
Cl1 Cl 0.000 0.319 0.500
O1 O 0.230 0.500 0.113
# Relative energy among the computed polymorphs (meV/atom): 0
# Calculated volume (Å³/cell): 1034.45
# Raw formation energy (meV/atom): -1172
# Total energy (Ry per atom): -0.2223

[6]
# NdHoAlIn, optimized geometry, DFT PBE
data_NdHoAlIn
_cell_length_a 3.719
_cell_length_b 3.719
_cell_length_c 7.540
_cell_angle_alpha 90.00
_cell_angle_beta 90.00
_cell_angle_gamma 90.00
_space_group_name_H-M_alt 'P 4 m m'
_space_group_IT_number 99
loop_
_space_group_symop_operation_xyz
'x,y,z'
'-y,x,z'
'-x,-y,z'
'y,-x,z'
'-x,y,z'
'y,x,z'
'x,-y,z'
'-y,-x,z'
loop_
_atom_site_label
_atom_site_type_symbol
_atom_site_fract_x
_atom_site_fract_y
_atom_site_fract_z
Nd1 Nd 0.000 0.000 0.000
Ho1 Ho 0.000 0.000 0.479
Al1 Al 0.500 0.500 0.254
In1 In 0.500 0.500 0.725
# Relative energy among the computed polymorphs (meV/atom): 0
# Calculated volume (Å³/cell): 104.27
# Total energy (Ry per atom): -0.3218
# Energy of formation from the pure elements (eV per formula unit): -1.7